Entry 1:
Below is In16Hg6Bi7 after structural relaxation, with properties calculated at the PBE level.

Output
Calculated volume, Å³ per atom: 30.51
Density, g cm⁻³: 8.5
Energy of formation, eV/atom: 0.015
Space-group type: Fm-3m

Cell: 10.7758 10.7758 10.7758 Å, 60.00 60.00 60.00°
Fractional positions:
In 0.1164 0.1164 0.1164
In 0.1164 0.1164 0.6508
In 0.1163 0.6279 0.6279
In 0.1164 0.6508 0.1164
In 0.3492 0.8836 0.8836
In 0.3721 0.3721 0.3721
In 0.3721 0.3721 0.8837
In 0.3721 0.8837 0.3721
In 0.6279 0.1163 0.6279
In 0.6279 0.6279 0.1163
In 0.6279 0.6279 0.6279
In 0.6508 0.1164 0.1164
In 0.8836 0.3492 0.8836
In 0.8837 0.3721 0.3721
In 0.8836 0.8836 0.3492
In 0.8836 0.8836 0.8836
Hg 0.2529 0.2529 0.7471
Hg 0.2529 0.7471 0.2529
Hg 0.2529 0.7471 0.7471
Hg 0.7471 0.2529 0.2529
Hg 0.7471 0.2529 0.7471
Hg 0.7471 0.7471 0.2529
Bi 0.0000 0.0000 0.5000
Bi 0.0000 0.5000 0.0000
Bi 0.0000 0.5000 0.5000
Bi 0.5000 0.0000 0.0000
Bi 0.5000 0.0000 0.5000
Bi 0.5000 0.5000 0.0000
Bi 0.5000 0.5000 0.5000

***

Entry 2:
Below is SrTcMo after structural relaxation, with properties calculated at the PBE level.

Output
Calculated volume, Å³ per atom: 23.93
Density, g cm⁻³: 6.5
Energy of formation, eV/atom: 0.501
Polymorph energy (0 for the lowest one), kJ per mole of atoms: 14.3
Space-group type: Pm

Cell: 3.1109 4.1915 11.0443 Å, 90.00 94.54 90.00°
Fractional positions:
Sr 0.0000 0.0000 0.0000
Sr 0.3980 0.5000 0.6878
Tc 0.3561 0.0000 0.2746
Tc 0.6319 0.5000 0.1894
Mo 0.0358 0.5000 0.3988
Mo 0.7423 0.0000 0.4906